No. 1
Density functional theory data (PBE) for crystalline NaLiIn at its relaxed geometry.

Cell: 3.093 4.910 9.300 Å, 90.00 99.27 90.00°
Fractional coordinates of all 6 atoms:
Na 0.199 0.250 0.401
Na 0.801 0.750 0.599
Li 0.038 0.250 0.080
Li 0.962 0.750 0.920
In 0.398 0.250 0.792
In 0.602 0.750 0.208

Computed properties:
**Size of the total moment**: 0.000 μB per atom
**Energy of formation**: -153 meV/atom
**Offset from the most stable computed form**: 0 meV/atom
**Energy**: -2.14 eV per atom

---

No. 2
Density functional theory data (PBE) for crystalline Al2TlHg at its relaxed geometry.

Cell: 9.321 9.321 9.321 Å, 20.97 20.97 20.97°
Fractional coordinates of all 4 atoms:
Al 0.244 0.244 0.244
Al 0.756 0.756 0.756
Tl 0.000 0.000 0.000
Hg 0.500 0.500 0.500

Computed properties:
**Size of the total moment**: 0.000 μB per atom
**Energy of formation**: 229 meV/atom
**Energy**: -2.31 eV per atom

---

No. 3
Density functional theory data (PBE) for crystalline YTaBi3 at its relaxed geometry.

Cell: 5.513 5.513 5.513 Å, 90.00 90.00 90.00°
Fractional coordinates of all 5 atoms:
Y 0.000 0.000 0.000
Ta 0.500 0.500 0.500
Bi 0.000 0.500 0.500
Bi 0.500 0.000 0.500
Bi 0.500 0.500 0.000

Computed properties:
**Size of the total moment**: 0.000 μB per atom
**Energy of formation**: 430 meV/atom
**Offset from the most stable computed form**: 0 meV/atom
**Energy**: -5.56 eV per atom